# TlTc2Cl (PBE, optimized geometry)
# * formation energy (no corrections): 0.493 eV per atom
# * size of the total moment: 0.00 μB/f.u.
# * raw total energy: -22.973 eV per formula unit
data_TlTc2Cl
_chemical_formula_sum 'Tl2 Tc4 Cl2'
_space_group_name_H-M_alt 'C 1 2/m 1'
_space_group_IT_number 12
_cell_length_a 10.501
_cell_length_b 3.291
_cell_length_c 7.831
_cell_angle_alpha 90.00
_cell_angle_beta 130.28
_cell_angle_gamma 90.00
loop_
_space_group_symop_operation_xyz
'x,y,z'
'-x,-y,-z'
'-x,y,-z'
'x,-y,z'
'x+1/2,y+1/2,z'
'-x+1/2,-y+1/2,-z'
'-x+1/2,y+1/2,-z'
'x+1/2,-y+1/2,z'
loop_
_atom_site_label
_atom_site_fract_x
_atom_site_fract_y
_atom_site_fract_z
Tl1 0.000 0.000 0.000
Tc1 0.199 0.000 0.868
Cl1 0.000 0.500 0.500

# TlTc2Cl (PBE, optimized geometry)
# * formation energy (no corrections): 0.770 eV per atom
# * size of the total moment: 1.25 μB/f.u.
# * raw total energy: -21.867 eV per formula unit
data_TlTc2Cl
_chemical_formula_sum 'Tl3 Tc6 Cl3'
_space_group_name_H-M_alt 'R -3 m'
_space_group_IT_number 166
_space_group_name_Hall '-R 3 2"'
_cell_length_a 3.0171
_cell_length_b 3.0171
_cell_length_c 25.6839
_cell_angle_alpha 90.00
_cell_angle_beta 90.00
_cell_angle_gamma 120.00
loop_
_atom_site_label
_atom_site_fract_x
_atom_site_fract_y
_atom_site_fract_z
Tl1 0.0000 0.0000 0.0000
Tc1 0.0000 0.0000 0.2432
Cl1 0.0000 0.0000 0.5000

# TlTc2Cl (PBE, optimized geometry)
# * formation energy (no corrections): 0.642 eV per atom
# * size of the total moment: 0.00 μB/f.u.
# * raw total energy: -22.376 eV per formula unit
data_TlTc2Cl
_chemical_formula_sum 'Tl2 Tc4 Cl2'
_space_group_name_H-M_alt 'I m m 2'
_space_group_IT_number 44
_cell_length_a 3.338
_cell_length_b 5.322
_cell_length_c 11.863
_cell_angle_alpha 90.00
_cell_angle_beta 90.00
_cell_angle_gamma 90.00
loop_
_space_group_symop_operation_xyz
'x,y,z'
'-x,-y,z'
'-x,y,z'
'x,-y,z'
'x+1/2,y+1/2,z+1/2'
'-x+1/2,-y+1/2,z+1/2'
'-x+1/2,y+1/2,z+1/2'
'x+1/2,-y+1/2,z+1/2'
loop_
_atom_site_label
_atom_site_fract_x
_atom_site_fract_y
_atom_site_fract_z
Tl1 0.000 0.000 0.000
Tc1 0.000 0.000 0.439
Tc2 0.000 0.500 0.071
Cl1 0.000 0.500 0.766

# TlTcCl (PBE, optimized geometry)
# * formation energy (no corrections): 0.326 eV per atom
# * size of the total moment: 0.00 μB/f.u.
# * raw total energy: -13.602 eV per formula unit
data_TlTcCl
_chemical_formula_sum 'Tl1 Tc1 Cl1'
_space_group_name_H-M_alt 'P 3 m 1'
_space_group_IT_number 156
_cell_length_a 3.2069
_cell_length_b 3.2069
_cell_length_c 7.6702
_cell_angle_alpha 90.00
_cell_angle_beta 90.00
_cell_angle_gamma 120.00
loop_
_space_group_symop_operation_xyz
'x,y,z'
'-y,x-y,z'
'-x+y,-x,z'
'-y,-x,z'
'-x+y,y,z'
'x,x-y,z'
loop_
_atom_site_label
_atom_site_fract_x
_atom_site_fract_y
_atom_site_fract_z
Tl1 0.0000 0.0000 0.0000
Tc1 0.3333 0.6667 0.6728
Cl1 0.6667 0.3333 0.4830

# Tl2TcCl (PBE, optimized geometry)
# * formation energy (no corrections): 0.707 eV per atom
# * size of the total moment: 3.34 μB/f.u.
# * raw total energy: -14.116 eV per formula unit
data_Tl2TcCl
_chemical_formula_sum 'Tl8 Tc4 Cl4'
_space_group_name_H-M_alt 'I -4 2 d'
_space_group_IT_number 122
_space_group_name_Hall 'I -4 2bw'
_cell_length_a 5.021
_cell_length_b 5.021
_cell_length_c 18.956
_cell_angle_alpha 90.00
_cell_angle_beta 90.00
_cell_angle_gamma 90.00
loop_
_atom_site_label
_atom_site_fract_x
_atom_site_fract_y
_atom_site_fract_z
Tl1 0.210 0.250 0.125
Tc1 0.000 0.000 0.000
Cl1 0.000 0.000 0.500

# TlTc2Cl (PBE, optimized geometry)
# * formation energy (no corrections): 1.263 eV per atom
# * size of the total moment: 4.96 μB/f.u.
# * raw total energy: -19.893 eV per formula unit
data_TlTc2Cl
_chemical_formula_sum 'Tl1 Tc2 Cl1'
_space_group_name_H-M_alt 'P 4/m m m'
_space_group_IT_number 123
_space_group_name_Hall '-P 4 2'
_cell_length_a 4.138
_cell_length_b 4.138
_cell_length_c 4.532
_cell_angle_alpha 90.00
_cell_angle_beta 90.00
_cell_angle_gamma 90.00
loop_
_atom_site_label
_atom_site_fract_x
_atom_site_fract_y
_atom_site_fract_z
Tl1 0.000 0.000 0.000
Tc1 0.000 0.500 0.500
Cl1 0.500 0.500 0.000